No. 1
Ba3PtPb2 (GGA-PBE, optimized geometry); magnetic moment = 0.0000 μB per atom; E_tot = -45.21 eV/cell
1.0
6.612 -0.807 2.935
-1.118 6.567 2.935
0.847 0.888 11.952
Ba Pt Pb
6 2 4
Direct
0.328 0.672 0.250 Ba
0.672 0.328 0.750 Ba
0.980 0.214 0.053 Ba
0.786 0.020 0.447 Ba
0.020 0.786 0.947 Ba
0.214 0.980 0.553 Ba
0.641 0.359 0.250 Pt
0.359 0.641 0.750 Pt
0.754 0.579 0.365 Pb
0.421 0.246 0.135 Pb
0.579 0.754 0.865 Pb
0.246 0.421 0.635 Pb



No. 2
SrTc2Rh (GGA-PBE, optimized geometry); magnetic moment = 0.0000 μB per atom; ΔE to the lowest computed polymorph = 0 meV/atom
1.0
-2.920 1.158 -0.144
-1.121 -2.678 1.208
0.791 2.879 7.116
Rh Sr Tc
1 1 2
Direct
0.000 0.000 0.447 Rh
0.500 0.500 0.743 Sr
0.000 0.000 0.075 Tc
0.500 0.500 0.235 Tc